This record from OQMD via LeMat-Bulk describes SrBi2Au after structural relaxation. The functional is PBE.

Output
For the total energy, the calculation gives -3.61 eV per atom.

Lattice parameters (Å, degrees): 7.7636 7.7636 7.7636 90.00 90.00 90.00
Space group F-43m (No. 216)
Unique sites:
Sr: 0.0000 0.0000 0.0000 x4
Bi: 0.0000 0.0000 0.5000 x4
Bi: 0.2500 0.2500 0.2500 x4
Au: 0.2500 0.2500 0.7500 x4